No. 1
First-principles (meta-GGA SCAN) data for a PBEsol-optimized structure of CuPt2Rh, as listed in Alexandria.

Cell: 8.868 8.868 8.868 Å, 17.55 17.55 17.55°
Element x y z (fractional)
1 Cu 0.000 0.000 0.000
2 Pt 0.252 0.252 0.252
3 Pt 0.748 0.748 0.748
4 Rh 0.500 0.500 0.500

* total magnetization: 0.00 Bohr magnetons per cell
* E_form: -0.070 eV/atom
* electronic total energy: -47.409 eV per atom

=====

No. 2
First-principles (meta-GGA SCAN) data for a PBEsol-optimized structure of PRuAuS2, as listed in Alexandria.

Cell: 4.519 4.519 4.532 Å, 90.00 90.00 90.00°
Element x y z (fractional)
1 P 0.000 0.000 0.000
2 Ru 0.000 0.000 0.500
3 Au 0.500 0.500 0.000
4 S 0.000 0.500 0.500
5 S 0.500 0.000 0.500

* energy relative to the elements, uncorrected: 359 kJ/mol of formula units
* total magnetization: 0.00 Bohr magnetons per cell
* electronic total energy: -25.983 eV per atom